Ba8Bi4H2O: PBEsol geometry, meta-GGA SCAN.

Values from the calculation:
Calculated total energy: -662.36 eV per cell
Theoretical density: 6.254 g cm⁻³
Space group: I4/mmm, No. 139

POSCAR file:
```
Ba8Bi4H2O
1.0
5.2220 0.0000 0.0000
0.0000 5.2220 0.0000
-2.6110 -2.6110 19.0132
Bi Ba H O
4 8 2 1
Direct
0.4327 0.4327 0.8655
0.1796 0.1796 0.3592
0.5673 0.5673 0.1345
0.8204 0.8204 0.6408
0.9161 0.9161 0.8322
0.0839 0.0839 0.1678
0.3400 0.3400 0.6800
0.5000 0.0000 0.0000
0.6600 0.6600 0.3200
0.7500 0.2500 0.5000
0.0000 0.5000 0.0000
0.2500 0.7500 0.5000
0.2705 0.2705 0.5410
0.7295 0.7295 0.4590
0.0000 0.0000 0.0000
```